# Ba4TlCdHg2

Crystalline Ba4TlCdHg2 at its relaxed geometry (PBE, Alexandria).

Structure (CIF):
```
data_Ba4TlCdHg2
_space_group_name_H-M_alt 'R -3 m'
_space_group_IT_number 166
_space_group_name_Hall '-R 3 2"'
_cell_length_a 6.0026
_cell_length_b 6.0026
_cell_length_c 29.4175
_cell_angle_alpha 90.00
_cell_angle_beta 90.00
_cell_angle_gamma 120.00
loop_
_atom_site_label
_atom_site_fract_x
_atom_site_fract_y
_atom_site_fract_z
Ba1 0.0000 0.0000 0.1251
Ba2 0.0000 0.0000 0.3753
Tl1 0.0000 0.0000 0.5000
Cd1 0.0000 0.0000 0.0000
Hg1 0.0000 0.0000 0.2501
```

Output
- Uncorrected energy: -1.89 eV per atom
- Density: 6.9 Mg/m³
- DOS at the Fermi energy: 18.8 states/eV per cell
- DFT formation energy: -43.1 kJ/mol of atoms